Entry 1:
SiSeCl after structural relaxation. Source: the Alexandria database, functional PBE.

Results
Formation energy from raw total energies ... -0.36 eV per atom
M_tot ... 0.00 μB per cell
Distance to the lowest polymorph of the same formula ... 0.64 eV/f.u.

a b c (Å): 4.5867 6.5663 7.5116
angles (deg): 66.63 72.26 84.72
With the nearest neighbours (Å) after each atom.
Space group P-1 (No. 2)
Unique sites:
1 Si 0.0115 0.2325 0.3595 [2 per cell]  1 Cl 2.15, 2 Se 2.31
2 Se 0.1193 0.9162 0.2906 [2 per cell]  2 Si 2.31
3 Cl 0.3742 0.6076 0.7390 [2 per cell]  1 Si 2.15


Entry 2:
SrRe2Pt after structural relaxation. Source: the Alexandria database, functional PBE.

Results
M_tot ... 0.00 μB per cell
Formation energy ... 266 meV per atom
Distance to the lowest polymorph of the same formula ... 0.09 eV/f.u.

a b c (Å): 2.9391 3.6139 7.5394
angles (deg): 90.00 91.90 90.00
With the nearest neighbours (Å) after each atom.
Space group Pm (No. 6)
Unique sites:
1 Sr 0.0000 0.0000 0.0000 [1 per cell]  2 Sr 2.94, 4 Pt 3.20
2 Re 0.0800 0.0000 0.5080 [1 per cell]  2 Re 2.46
3 Re 0.4933 0.5000 0.6651 [1 per cell]  2 Re 2.46
4 Pt 0.5242 0.5000 0.2919 [1 per cell]  5 Re 2.79-2.90, 2 Pt 2.94


Entry 3:
YNb3Se after structural relaxation. Source: the Alexandria database, functional PBE.

Results
Formation energy from raw total energies ... 0.30 eV per atom
M_tot ... 0.00 μB per cell
Distance to the lowest polymorph of the same formula ... 0.00 eV/f.u.

a b c (Å): 4.8430 4.8430 4.8430
angles (deg): 90.00 90.00 90.00
With the nearest neighbours (Å) after each atom.
Space group Pm-3m (No. 221)
Unique sites:
1 Y 0.0000 0.0000 0.0000 [1 per cell]  12 Nb 3.42
2 Nb 0.0000 0.5000 0.5000 [3 per cell]  2 Se 2.42
3 Se 0.5000 0.5000 0.5000 [1 per cell]  6 Nb 2.42


Entry 4:
TbY2Er6 after structural relaxation. Source: the Alexandria database, functional PBE.

Results
M_tot ... 0.00 μB per cell
Formation energy ... 124 meV per atom
Distance to the lowest polymorph of the same formula ... 0.90 eV/f.u.

a b c (Å): 9.0455 17.5395 3.5990
angles (deg): 90.00 99.54 90.00
With the nearest neighbours (Å) after each atom.
Space group C2/m (No. 12)
Unique sites:
1 Tb 0.0000 0.0000 0.0000 [2 per cell]  4 Er 3.45-3.54, 4 Y 3.47, 2 Tb 3.60
2 Y 0.0000 0.1691 0.5000 [4 per cell]  6 Er 3.41-3.52, 2 Tb 3.47, 2 Y 3.60
3 Er 0.1643 0.5000 0.3361 [4 per cell]  8 Er 3.38-3.60, 2 Tb 3.45-3.54
4 Er 0.1660 0.3349 0.8402 [8 per cell]  7 Er 3.39-3.60, 3 Y 3.41-3.52